This record from Alexandria describes ZnNi2Ir after structural relaxation. The functional is PBE-GGA.

a b c (Å): 2.667 3.570 5.296
angles (deg): 90.00 90.00 90.00
Fractional coordinates of all 4 atoms:
Ir 0.500 0.500 0.764
Ni 0.000 0.000 0.004
Ni 0.500 0.500 0.248
Zn 0.000 0.000 0.484

Crystal system ... orthorhombic
Final energy ... -5.458 eV per atom
Total magnetization ... 1.167 μB per cell
SG ... Pmm2
ΔE_f ... -0.034 eV per atom